Record 1
Computed, not measured: a relaxed structure of Ge2PbS2 at the PBE-GGA level of DFT.

The value obtained for the raw formation energy is 0.024 eV per atom.

It has space group I4/mmm (No. 139), with a = 5.1467 Å, b = 5.1467 Å, c = 8.6990 Å, α = 90.00°, β = 90.00° and γ = 90.00°. The inequivalent atoms are Ge at (0.0000, 0.0000, 0.1576), Pb at (0.0000, 0.0000, 0.5000) and S at (0.0000, 0.5000, 0.2500).



Record 2
Computed, not measured: a relaxed structure of GePb2S at the PBE-GGA level of DFT.

The value obtained for the raw formation energy is 0.139 eV per atom.

It has space group Fm-3m (No. 225), with a = 7.3194 Å, b = 7.3194 Å, c = 7.3194 Å, α = 90.00°, β = 90.00° and γ = 90.00°. The inequivalent atoms are Ge at (0.0000, 0.0000, 0.0000), Pb at (0.2500, 0.2500, 0.2500) and S at (0.0000, 0.0000, 0.5000).



Record 3
Computed, not measured: a relaxed structure of GePb3S at the PBE-GGA level of DFT.

The value obtained for the raw formation energy is 0.310 eV per atom.

It has space group Pm-3m (No. 221), with a = 5.4964 Å, b = 5.4964 Å, c = 5.4964 Å, α = 90.00°, β = 90.00° and γ = 90.00°. The inequivalent atoms are Ge at (0.0000, 0.0000, 0.0000), Pb at (0.0000, 0.5000, 0.5000) and S at (0.5000, 0.5000, 0.5000).



| no. | energy above the most stable polymorph in this dataset (meV per atom) |
| --- | --- |
| 1 | 0 |
| 2 | 6 |
| 3 | 0 |